DFT (GGA+U) results for crystalline CdNi2PbF8 at its relaxed geometry.

POSCAR file:
```
CdNi2PbF8
1.0
4.4003 0.0000 0.0000
0.6190 5.2299 0.0000
0.0890 0.7313 7.6469
Cd Ni Pb F
1 2 1 8
Cartesian
0.0000 0.0000 0.0000
2.4376 2.6014 1.5882
2.6707 3.3598 6.0586
0.0445 0.3657 3.8234
1.0292 4.4487 6.0519
1.0954 4.0263 1.8619
1.9919 2.1882 7.6072
2.0745 1.7059 3.2968
3.0338 4.2554 4.3501
3.1164 3.7731 0.0397
4.0129 1.9350 5.7850
4.0791 1.5126 1.5949
```

Output
Crystal system ... triclinic
V ... 176.0 Å³/cell
Electronic total energy ... -0.15492 hartree per atom